Record 1
Here is a geometry-optimized AcTb4NdEr2 structure from Alexandria via LeMat-Bulk. Energies are from PBE.

Results
Its space-group type is Pmmm (47).

Lattice parameters (Å, degrees): 5.1070 5.1396 10.2014 90.00 90.00 90.00
With the nearest neighbours (Å) after each atom.
Positions (direct):
Ac: 0.0000 0.0000 0.0000  4 Er 3.62, 8 Tb 3.66
Tb: 0.0000 0.5000 0.2559  2 Nd 3.57, 4 Er 3.58-3.65, 4 Tb 3.62, 2 Ac 3.66
Tb: 0.0000 0.5000 0.7441  2 Nd 3.57, 4 Er 3.58-3.65, 4 Tb 3.62, 2 Ac 3.66
Tb: 0.5000 0.0000 0.2574  4 Er 3.56-3.67, 2 Nd 3.57, 4 Tb 3.62, 2 Ac 3.66
Tb: 0.5000 0.0000 0.7426  4 Er 3.56-3.67, 2 Nd 3.57, 4 Tb 3.62, 2 Ac 3.66
Nd: 0.5000 0.5000 0.5000  8 Tb 3.57, 4 Er 3.62
Er: 0.0000 0.0000 0.5000  8 Tb 3.56-3.58, 4 Nd 3.62
Er: 0.5000 0.5000 0.0000  4 Ac 3.62, 8 Tb 3.65-3.67

---

Record 2
Here is a geometry-optimized AcTb2Nd4Er structure from Alexandria via LeMat-Bulk. Energies are from PBE.

Results
Its space-group type is Pmmm (47).

Lattice parameters (Å, degrees): 5.1685 5.2047 10.3744 90.00 90.00 90.00
With the nearest neighbours (Å) after each atom.
Positions (direct):
Ac: 0.0000 0.0000 0.0000  4 Tb 3.67, 8 Nd 3.72-3.73
Tb: 0.0000 0.0000 0.5000  8 Nd 3.60-3.62, 4 Er 3.67
Tb: 0.5000 0.5000 0.0000  4 Ac 3.67, 8 Nd 3.72-3.74
Nd: 0.0000 0.5000 0.2579  2 Er 3.60, 4 Tb 3.62-3.72, 4 Nd 3.67, 2 Ac 3.73
Nd: 0.0000 0.5000 0.7421  2 Er 3.60, 4 Tb 3.62-3.72, 4 Nd 3.67, 2 Ac 3.73
Nd: 0.5000 0.0000 0.2584  4 Tb 3.60-3.74, 2 Er 3.61, 4 Nd 3.67, 2 Ac 3.72
Nd: 0.5000 0.0000 0.7416  4 Tb 3.60-3.74, 2 Er 3.61, 4 Nd 3.67, 2 Ac 3.72
Er: 0.5000 0.5000 0.5000  8 Nd 3.60-3.61, 4 Tb 3.67

---

no.,energy (eV per cell),M_tot (μB per atom)
1,-36.191,0.000
2,-36.784,0.000